(A)
Entry from Alexandria via LeMat-Bulk: a geometry-optimized LaEuNi structure (GGA-PBE). Values from VASP.

V   32.12 A^3/atom
D(E_F)   8.64 states/eV/cell
Crystal system   trigonal
Theoretical density   6.02 g/cm³
Magnetic moment   7.46 μB per formula unit

Geometry as Quantum ESPRESSO input:
```
&SYSTEM
  ibrav = 0, nat = 3, ntyp = 3
/
ATOMIC_SPECIES
La 138.91 La.upf
Eu 151.96 Eu.upf
Ni 58.69 Ni.upf
CELL_PARAMETERS angstrom
4.089 0.000 0.000
-2.044 3.541 0.000
0.000 0.000 6.655
ATOMIC_POSITIONS crystal
La 0.000 0.000 0.000
Eu 0.333 0.667 0.475
Ni 0.667 0.333 0.216
```

***

(B)
Entry from Alexandria via LeMat-Bulk: a geometry-optimized LaEuNi structure (GGA-PBE). Values from VASP.

V   28.58 A^3/atom
D(E_F)   3.03 states/eV/cell
Crystal system   cubic
Theoretical density   6.77 g/cm³
Magnetic moment   7.31 μB per formula unit

Geometry as Quantum ESPRESSO input:
```
&SYSTEM
  ibrav = 0, nat = 3, ntyp = 3
/
ATOMIC_SPECIES
La 138.91 La.upf
Eu 151.96 Eu.upf
Ni 58.69 Ni.upf
CELL_PARAMETERS angstrom
0.000 3.500 3.500
3.500 0.000 3.500
3.500 3.500 0.000
ATOMIC_POSITIONS crystal
La 0.000 0.000 0.000
Eu 0.500 0.500 0.500
Ni 0.750 0.750 0.750
```

***

(C)
Entry from Alexandria via LeMat-Bulk: a geometry-optimized LaEuNi structure (GGA-PBE). Values from VASP.

V   28.23 A^3/atom
D(E_F)   3.66 states/eV/cell
Crystal system   tetragonal
Theoretical density   6.85 g/cm³
Magnetic moment   7.39 μB per formula unit

Geometry as Quantum ESPRESSO input:
```
&SYSTEM
  ibrav = 0, nat = 3, ntyp = 3
/
ATOMIC_SPECIES
La 138.91 La.upf
Eu 151.96 Eu.upf
Ni 58.69 Ni.upf
CELL_PARAMETERS angstrom
-1.795 1.795 6.569
1.795 -1.795 6.569
1.795 1.795 -6.569
ATOMIC_POSITIONS crystal
La 0.000 0.000 0.000
Eu 0.746 0.746 0.000
Ni 0.388 0.388 0.000
```

***

Most stable: (C) (next structure +0.007 eV/atom)

***

(A)
Entry from Alexandria via LeMat-Bulk: a geometry-optimized La2EuNi structure (GGA-PBE). Values from VASP.

V   33.81 A^3/atom
D(E_F)   3.86 states/eV/cell
Crystal system   trigonal
Theoretical density   6.00 g/cm³
Magnetic moment   8.13 μB per formula unit

Geometry as Quantum ESPRESSO input:
```
&SYSTEM
  ibrav = 0, nat = 4, ntyp = 3
/
ATOMIC_SPECIES
La 138.91 La.upf
Eu 151.96 Eu.upf
Ni 58.69 Ni.upf
CELL_PARAMETERS angstrom
2.035 1.175 9.430
-2.035 1.175 9.430
0.000 -2.349 9.430
ATOMIC_POSITIONS crystal
La 0.222 0.222 0.222
La 0.778 0.778 0.778
Eu 0.000 0.000 0.000
Ni 0.500 0.500 0.500
```

***

(B)
Entry from Alexandria via LeMat-Bulk: a geometry-optimized La2EuNi structure (GGA-PBE). Values from VASP.

V   31.45 A^3/atom
D(E_F)   5.43 states/eV/cell
Crystal system   tetragonal
Theoretical density   6.45 g/cm³
Magnetic moment   8.26 μB per formula unit

Geometry as Quantum ESPRESSO input:
```
&SYSTEM
  ibrav = 0, nat = 4, ntyp = 3
/
ATOMIC_SPECIES
La 138.91 La.upf
Eu 151.96 Eu.upf
Ni 58.69 Ni.upf
CELL_PARAMETERS angstrom
3.640 0.000 0.000
0.000 3.640 0.000
0.000 0.000 9.496
ATOMIC_POSITIONS crystal
La 0.000 0.000 0.171
La 0.000 0.000 0.829
Eu 0.500 0.500 0.500
Ni 0.500 0.500 0.000
```

***

Most stable: (A) (next structure +0.018 eV/atom)

***

(A)
Entry from Alexandria via LeMat-Bulk: a geometry-optimized LaEuO2 structure (GGA-PBE). Values from VASP.

V   15.25 A^3/atom
D(E_F)   1.03 states/eV/cell
Crystal system   tetragonal
Theoretical density   8.79 g/cm³
Magnetic moment   7.11 μB per formula unit

Geometry as Quantum ESPRESSO input:
```
&SYSTEM
  ibrav = 0, nat = 4, ntyp = 3
/
ATOMIC_SPECIES
La 138.91 La.upf
Eu 151.96 Eu.upf
O 16.00 O.upf
CELL_PARAMETERS angstrom
3.125 0.000 0.000
0.000 3.125 0.000
0.000 0.000 6.247
ATOMIC_POSITIONS crystal
La 0.000 0.000 0.000
Eu 0.000 0.000 0.500
O 0.500 0.500 0.247
O 0.500 0.500 0.753
```

***

(B)
Entry from Alexandria via LeMat-Bulk: a geometry-optimized LaEuO2 structure (GGA-PBE). Values from VASP.

V   16.73 A^3/atom
D(E_F)   1.19 states/eV/cell
Crystal system   trigonal
Theoretical density   8.01 g/cm³
Magnetic moment   6.87 μB per formula unit

Geometry as Quantum ESPRESSO input:
```
&SYSTEM
  ibrav = 0, nat = 4, ntyp = 3
/
ATOMIC_SPECIES
La 138.91 La.upf
Eu 151.96 Eu.upf
O 16.00 O.upf
CELL_PARAMETERS angstrom
1.802 1.040 5.949
-1.802 1.040 5.949
0.000 -2.080 5.949
ATOMIC_POSITIONS crystal
La 0.000 0.000 0.000
Eu 0.500 0.500 0.500
O 0.248 0.248 0.248
O 0.752 0.752 0.752
```

***

Most stable: (B) (next structure +0.491 eV/atom)

***

(A)
Entry from Alexandria via LeMat-Bulk: a geometry-optimized LaEuP structure (GGA-PBE). Values from VASP.

V   34.88 A^3/atom
D(E_F)   9.85 states/eV/cell
Crystal system   trigonal
Theoretical density   5.11 g/cm³
Magnetic moment   7.63 μB per formula unit

Geometry as Quantum ESPRESSO input:
```
&SYSTEM
  ibrav = 0, nat = 3, ntyp = 3
/
ATOMIC_SPECIES
La 138.91 La.upf
Eu 151.96 Eu.upf
P 30.97 P.upf
CELL_PARAMETERS angstrom
4.150 0.000 0.000
-2.075 3.594 0.000
0.000 0.000 7.018
ATOMIC_POSITIONS crystal
La 0.000 0.000 0.000
Eu 0.667 0.333 0.527
P 0.333 0.667 0.773
```

***

(B)
Entry from Alexandria via LeMat-Bulk: a geometry-optimized LaEuP structure (GGA-PBE). Values from VASP.

V   28.93 A^3/atom
D(E_F)   2.30 states/eV/cell
Crystal system   cubic
Theoretical density   6.16 g/cm³
Magnetic moment   7.61 μB per formula unit

Geometry as Quantum ESPRESSO input:
```
&SYSTEM
  ibrav = 0, nat = 3, ntyp = 3
/
ATOMIC_SPECIES
La 138.91 La.upf
Eu 151.96 Eu.upf
P 30.97 P.upf
CELL_PARAMETERS angstrom
0.000 3.514 3.514
3.514 0.000 3.514
3.514 3.514 0.000
ATOMIC_POSITIONS crystal
La 0.000 0.000 0.000
Eu 0.500 0.500 0.500
P 0.750 0.750 0.750
```

***

Most stable: (A) (next structure +0.030 eV/atom)

***

(A)
Entry from Alexandria via LeMat-Bulk: a geometry-optimized LaEuPb2 structure (GGA-PBE). Values from VASP.

V   32.26 A^3/atom
D(E_F)   8.40 states/eV/cell
Crystal system   cubic
Theoretical density   9.08 g/cm³
Magnetic moment   7.26 μB per formula unit

Geometry as Quantum ESPRESSO input:
```
&SYSTEM
  ibrav = 0, nat = 4, ntyp = 3
/
ATOMIC_SPECIES
La 138.91 La.upf
Eu 151.96 Eu.upf
Pb 207.20 Pb.upf
CELL_PARAMETERS angstrom
0.000 4.011 4.011
4.011 0.000 4.011
4.011 4.011 0.000
ATOMIC_POSITIONS crystal
La 0.000 0.000 0.000
Eu 0.500 0.500 0.500
Pb 0.250 0.250 0.250
Pb 0.750 0.750 0.750
```

***

(B)
Entry from Alexandria via LeMat-Bulk: a geometry-optimized LaEuPb2 structure (GGA-PBE). Values from VASP.

V   31.61 A^3/atom
D(E_F)   2.40 states/eV/cell
Crystal system   tetragonal
Theoretical density   9.26 g/cm³
Magnetic moment   6.96 μB per formula unit

Geometry as Quantum ESPRESSO input:
```
&SYSTEM
  ibrav = 0, nat = 4, ntyp = 3
/
ATOMIC_SPECIES
La 138.91 La.upf
Eu 151.96 Eu.upf
Pb 207.20 Pb.upf
CELL_PARAMETERS angstrom
3.675 0.000 0.000
0.000 3.675 0.000
0.000 0.000 9.362
ATOMIC_POSITIONS crystal
La 0.000 0.000 0.000
Eu 0.000 0.000 0.500
Pb 0.500 0.500 0.251
Pb 0.500 0.500 0.749
```

***

Most stable: (B) (next structure +0.043 eV/atom)

***

(A)
Entry from Alexandria via LeMat-Bulk: a geometry-optimized La2EuPb structure (GGA-PBE). Values from VASP.

V   32.97 A^3/atom
D(E_F)   4.77 states/eV/cell
Crystal system   tetragonal
Theoretical density   8.02 g/cm³
Magnetic moment   7.77 μB per formula unit

Geometry as Quantum ESPRESSO input:
```
&SYSTEM
  ibrav = 0, nat = 4, ntyp = 3
/
ATOMIC_SPECIES
La 138.91 La.upf
Eu 151.96 Eu.upf
Pb 207.20 Pb.upf
CELL_PARAMETERS angstrom
5.111 0.000 0.000
0.000 5.111 0.000
0.000 0.000 5.048
ATOMIC_POSITIONS crystal
La 0.000 0.500 0.000
La 0.500 0.000 0.000
Eu 0.000 0.000 0.500
Pb 0.500 0.500 0.500
```

***

(B)
Entry from Alexandria via LeMat-Bulk: a geometry-optimized La2EuPb structure (GGA-PBE). Values from VASP.

V   33.65 A^3/atom
D(E_F)   6.04 states/eV/cell
Crystal system   cubic
Theoretical density   7.86 g/cm³
Magnetic moment   8.09 μB per formula unit

Geometry as Quantum ESPRESSO input:
```
&SYSTEM
  ibrav = 0, nat = 4, ntyp = 3
/
ATOMIC_SPECIES
La 138.91 La.upf
Eu 151.96 Eu.upf
Pb 207.20 Pb.upf
CELL_PARAMETERS angstrom
0.000 4.068 4.068
4.068 0.000 4.068
4.068 4.068 0.000
ATOMIC_POSITIONS crystal
La 0.250 0.250 0.250
La 0.750 0.750 0.750
Eu 0.000 0.000 0.000
Pb 0.500 0.500 0.500
```

***

Most stable: (A) (next structure +0.119 eV/atom)